Model i:
Entry from Alexandria via LeMat-Bulk: a PBEsol-optimized structure of ReO2F3 (meta-GGA SCAN). Values from VASP.

Properties
The calculation puts the density of states at the Fermi level at 0.0 states/eV/cell.

The structure in Quantum ESPRESSO input format:
```
&SYSTEM
  ibrav = 0, nat = 48, ntyp = 3
/
ATOMIC_SPECIES
Re 186.21 Re.upf
O 16.00 O.upf
F 19.00 F.upf
ATOMIC_POSITIONS crystal
Re 0.1668 0.8332 0.8232
Re 0.2384 0.2384 0.5000
Re 0.2616 0.2616 0.0000
Re 0.3332 0.6668 0.3232
Re 0.6668 0.3332 0.6768
Re 0.7384 0.7384 0.0000
Re 0.7616 0.7616 0.5000
Re 0.8332 0.1668 0.1768
O 0.0780 0.2102 0.4168
O 0.1147 0.6509 0.7629
O 0.1509 0.6147 0.2629
O 0.2102 0.0780 0.5832
O 0.2898 0.4220 0.0832
O 0.3491 0.8853 0.7629
O 0.3853 0.8491 0.2629
O 0.4220 0.2898 0.9168
O 0.5780 0.7102 0.0832
O 0.6147 0.1509 0.7371
O 0.6509 0.1147 0.2371
O 0.7102 0.5780 0.9168
O 0.7898 0.9220 0.4168
O 0.8491 0.3853 0.7371
O 0.8853 0.3491 0.2371
O 0.9220 0.7898 0.5832
F 0.0045 0.9955 0.7643
F 0.0496 0.1820 0.0819
F 0.0754 0.3746 0.9306
F 0.1254 0.4246 0.5694
F 0.1820 0.0496 0.9181
F 0.2207 0.7793 0.4301
F 0.2793 0.7207 0.9301
F 0.3180 0.4504 0.4181
F 0.3746 0.0754 0.0694
F 0.4246 0.1254 0.4306
F 0.4504 0.3180 0.5819
F 0.4955 0.5045 0.2643
F 0.5045 0.4955 0.7357
F 0.5496 0.6820 0.4181
F 0.5754 0.8746 0.5694
F 0.6254 0.9246 0.9306
F 0.6820 0.5496 0.5819
F 0.7207 0.2793 0.0699
F 0.7793 0.2207 0.5699
F 0.8180 0.9504 0.0819
F 0.8746 0.5754 0.4306
F 0.9246 0.6254 0.0694
F 0.9504 0.8180 0.9181
F 0.9955 0.0045 0.2357
CELL_PARAMETERS angstrom
5.6415 -5.1500 0.0000
5.6415 5.1500 0.0000
0.0000 0.0000 13.6355
```

---

Model ii:
Entry from Alexandria via LeMat-Bulk: a PBEsol-optimized structure of ReO2F3 (meta-GGA SCAN). Values from VASP.

Properties
The calculation puts the density of states at the Fermi level at 0.0 states/eV/cell.

The structure in Quantum ESPRESSO input format:
```
&SYSTEM
  ibrav = 0, nat = 24, ntyp = 3
/
ATOMIC_SPECIES
Re 186.21 Re.upf
O 16.00 O.upf
F 19.00 F.upf
ATOMIC_POSITIONS crystal
Re 0.1777 0.2118 0.3642
Re 0.1777 0.2882 0.8642
Re 0.8223 0.7118 0.1358
Re 0.8223 0.7882 0.6358
O 0.2419 0.0804 0.9699
O 0.2419 0.4196 0.4699
O 0.3410 0.5674 0.9061
O 0.3410 0.9326 0.4061
O 0.6590 0.0674 0.5939
O 0.6590 0.4326 0.0939
O 0.7581 0.5804 0.5301
O 0.7581 0.9196 0.0301
F 0.0441 0.0132 0.2196
F 0.0441 0.4868 0.7196
F 0.1223 0.5977 0.1106
F 0.1223 0.9023 0.6106
F 0.3884 0.1470 0.7829
F 0.3884 0.3530 0.2829
F 0.6116 0.6470 0.7171
F 0.6116 0.8530 0.2171
F 0.8777 0.0977 0.3894
F 0.8777 0.4023 0.8894
F 0.9559 0.5132 0.2804
F 0.9559 0.9868 0.7804
CELL_PARAMETERS angstrom
5.6096 0.0000 0.0000
0.0000 4.9636 0.0000
-2.2296 0.0000 12.7027
```

---

Relative energies, unit meV per atom: model i 7; model ii 0

---

Model i:
Entry from Alexandria via LeMat-Bulk: a PBEsol-optimized structure of Sb5O7F (meta-GGA SCAN). Values from VASP.

Properties
The calculation puts the density of states at the Fermi level at 0.0 states/eV/cell.

The structure in Quantum ESPRESSO input format:
```
&SYSTEM
  ibrav = 0, nat = 26, ntyp = 3
/
ATOMIC_SPECIES
Sb 121.76 Sb.upf
O 16.00 O.upf
F 19.00 F.upf
ATOMIC_POSITIONS crystal
Sb 0.0540 0.0540 0.4206
Sb 0.0639 0.0639 0.1361
Sb 0.2907 0.2907 0.6555
Sb 0.3288 0.3288 0.9505
Sb 0.3505 0.3505 0.3502
Sb 0.6495 0.6495 0.6498
Sb 0.6712 0.6712 0.0495
Sb 0.7093 0.7093 0.3445
Sb 0.9361 0.9361 0.8639
Sb 0.9460 0.9460 0.5794
O 0.1123 0.1123 0.3177
O 0.1379 0.1379 0.5774
O 0.1480 0.1480 0.0825
O 0.2485 0.2485 0.7816
O 0.2604 0.2604 0.3822
O 0.3887 0.3887 0.8319
O 0.4211 0.4211 0.5284
O 0.5789 0.5789 0.4716
O 0.6113 0.6113 0.1681
O 0.7396 0.7396 0.6178
O 0.7515 0.7515 0.2184
O 0.8520 0.8520 0.9175
O 0.8621 0.8621 0.4226
O 0.8877 0.8877 0.6823
F 0.4394 0.4394 0.0636
F 0.5606 0.5606 0.9364
CELL_PARAMETERS angstrom
9.9872 -2.0371 0.0000
9.9872 2.0371 0.0000
-4.5073 0.0000 11.2543
```

---

Model ii:
Entry from Alexandria via LeMat-Bulk: a PBEsol-optimized structure of Sb5O7F (meta-GGA SCAN). Values from VASP.

Properties
The calculation puts the density of states at the Fermi level at 0.0 states/eV/cell.

The structure in Quantum ESPRESSO input format:
```
&SYSTEM
  ibrav = 0, nat = 52, ntyp = 3
/
ATOMIC_SPECIES
Sb 121.76 Sb.upf
O 16.00 O.upf
F 19.00 F.upf
ATOMIC_POSITIONS crystal
Sb 0.0339 0.2380 0.4452
Sb 0.0339 0.2620 0.9452
Sb 0.3024 0.5287 0.5537
Sb 0.3024 0.9713 0.0537
Sb 0.3302 0.7425 0.3983
Sb 0.3302 0.7575 0.8983
Sb 0.3333 0.2465 0.7547
Sb 0.3333 0.2535 0.2547
Sb 0.3627 0.5523 0.0986
Sb 0.3627 0.9477 0.5986
Sb 0.6373 0.0523 0.4014
Sb 0.6373 0.4477 0.9014
Sb 0.6667 0.7465 0.7453
Sb 0.6667 0.7535 0.2453
Sb 0.6698 0.2425 0.1017
Sb 0.6698 0.2575 0.6017
Sb 0.6976 0.0287 0.9463
Sb 0.6976 0.4713 0.4463
Sb 0.9661 0.7380 0.0548
Sb 0.9661 0.7620 0.5548
O 0.0314 0.6073 0.9931
O 0.0314 0.8927 0.4931
O 0.1263 0.6760 0.4853
O 0.1263 0.8240 0.9853
O 0.3428 0.2459 0.6008
O 0.3428 0.2541 0.1008
O 0.3537 0.6779 0.1961
O 0.3537 0.8221 0.6961
O 0.4451 0.5925 0.4581
O 0.4451 0.9075 0.9581
O 0.4855 0.0977 0.8004
O 0.4855 0.4023 0.3004
O 0.4921 0.1705 0.4576
O 0.4921 0.3295 0.9576
O 0.5079 0.6705 0.0424
O 0.5079 0.8295 0.5424
O 0.5145 0.5977 0.6996
O 0.5145 0.9023 0.1996
O 0.5549 0.0925 0.0419
O 0.5549 0.4075 0.5419
O 0.6463 0.1779 0.3039
O 0.6463 0.3221 0.8039
O 0.6572 0.7459 0.8992
O 0.6572 0.7541 0.3992
O 0.8737 0.1760 0.0147
O 0.8737 0.3240 0.5147
O 0.9686 0.1073 0.5069
O 0.9686 0.3927 0.0069
F 0.2728 0.0690 0.2514
F 0.2728 0.4310 0.7514
F 0.7272 0.5690 0.2486
F 0.7272 0.9310 0.7486
CELL_PARAMETERS angstrom
6.5502 0.0000 0.0000
0.0000 12.4268 0.0000
-6.2775 0.0000 11.6223
```

---

Relative energies, unit meV per atom: model i 16; model ii 0